No. 1
DFT (PBE-GGA) results for a relaxed Dy2TmIn crystal.

Unit cell a=3.559 b=3.559 c=11.050 alpha=80.73 beta=80.73 gamma=60.00
Site moments in Bohr magnetons follow the coordinates.
Sites, in units of the cell vectors:
Dy  0.080  0.080  0.761  0.12
Dy  0.254  0.254  0.239  0.05
Tm  0.500  0.500  0.500  0.24
In  0.667  0.667  0.000  0.00

- Calculated volume: 29.8 Å³/atom
- Energy relative to the lowest polymorph listed for this composition: 119 meV/atom

---

No. 2
DFT (PBE-GGA) results for a relaxed Dy4Tm3In crystal.

Unit cell a=6.118 b=6.972 c=11.106 alpha=90.00 beta=90.00 gamma=90.00
Sites, in units of the cell vectors:
Dy  0.167  0.871  0.000
Dy  0.633  0.132  0.000
Dy  0.991  0.128  0.237
Dy  0.491  0.872  0.263
Dy  0.133  0.868  0.500
Dy  0.667  0.129  0.500
Dy  0.491  0.872  0.737
Dy  0.991  0.128  0.763
Tm  0.642  0.630  0.000
Tm  0.971  0.617  0.245
Tm  0.471  0.383  0.255
Tm  0.142  0.370  0.500
Tm  0.471  0.383  0.745
Tm  0.971  0.617  0.755
In  0.149  0.383  0.000
In  0.649  0.617  0.500

- Calculated volume: 29.6 Å³/atom
- Energy relative to the lowest polymorph listed for this composition: 13 meV/atom

---

No. 3
DFT (PBE-GGA) results for a relaxed Dy2Tm2In5 crystal.

Unit cell a=8.002 b=7.925 c=8.949 alpha=116.28 beta=90.00 gamma=90.00
Sites, in units of the cell vectors:
Dy  0.000  0.198  0.396
Dy  0.500  0.698  0.396
Dy  0.000  0.802  0.604
Dy  0.500  0.302  0.604
Tm  0.658  0.845  0.000
Tm  0.342  0.155  0.000
Tm  0.158  0.655  0.000
Tm  0.842  0.345  0.000
In  0.000  0.000  0.000
In  0.500  0.500  0.000
In  0.858  0.776  0.266
In  0.142  0.490  0.266
In  0.358  0.990  0.266
In  0.642  0.276  0.266
In  0.142  0.224  0.734
In  0.858  0.510  0.734
In  0.642  0.010  0.734
In  0.358  0.724  0.734

- Final energy: -0.1390 hartree per atom
- Calculated volume: 28.3 Å³/atom

---

No. 4
DFT (PBE-GGA) results for a relaxed DyTmIn4 crystal.

Unit cell a=4.834 b=4.837 c=7.841 alpha=89.94 beta=89.97 gamma=90.79
Sites, in units of the cell vectors:
Dy  0.501  0.497  0.998
Tm  0.001  0.997  0.498
In  0.502  0.997  0.254
In  0.501  0.998  0.743
In  0.001  0.497  0.742
In  0.001  0.498  0.254

- Calculated volume: 30.6 Å³/atom
- Energy relative to the lowest polymorph listed for this composition: 249 meV/atom

---

What are the density of states at the Fermi level values for these records? In order: 1.174, 1.322, 0.728, 0.481 states/eV per atom.